## Fe2CoOs (GGA-PBE)

Data for Fe2CoOs after structural relaxation.

Its calculated volume is 101.0 Å³/cell. The calculation puts the formation energy at 4.470 kcal/mol of atoms.

The space group is Cmmm (No. 65) and the conventional cell measures 2.870, 4.276 and 8.230 Å, with angles of 90.00, 90.00 and 90.00 degrees. Symmetry generates all atoms from Fe at (0.000, 0.000, 0.238), Co at (0.000, 0.500, 0.000) and Os at (0.000, 0.500, 0.500).